Record 1
Compound: HfCd2GaCl
Source: the Alexandria database
Functional: PBE
Structure: relaxed

Cell lengths 5.7959, 5.2490, 5.7959 Å; angles 90.00, 90.00, 90.00 degrees
Closest atoms and distances in Å follow each position.
Fractional positions:
1 Ga 0.0000 0.5000 0.0000  2 Hf 2.62
2 Cd 0.0000 0.0000 0.5000  2 Hf 2.90
3 Cd 0.5000 0.0000 0.0000  2 Hf 2.90
4 Cl 0.5000 0.5000 0.5000  8 Cd 3.91, 4 Ga 4.10
5 Hf 0.0000 0.0000 0.0000  2 Ga 2.62, 4 Cd 2.90

Calculated values
As for the volume: 176.33 Å³ per cell. The value obtained for the raw formation energy is 0.620 eV/atom.


Record 2
Compound: CdGaICl4
Source: the Alexandria database
Functional: PBE
Structure: relaxed

Cell lengths 9.2552, 9.2552, 9.2954 Å; angles 86.88, 86.88, 46.52 degrees
Closest atoms and distances in Å follow each position.
Fractional positions:
1 Cl 0.3251 0.3251 0.5112  1 Ga 2.14
2 Cl 0.5108 0.5108 0.7698  1 Ga 2.15
3 Cl 0.9343 0.4479 0.8225  1 Ga 2.29
4 Cl 0.6749 0.6749 0.4888  1 Ga 2.14
5 Cl 0.4479 0.9343 0.8225  1 Ga 2.29
6 Cl 0.5521 0.0657 0.1775  1 Ga 2.29
7 Cl 0.4892 0.4892 0.2302  1 Ga 2.15
8 Cl 0.0657 0.5521 0.1775  1 Ga 2.29
9 I 0.9375 0.9375 0.8023  2 Cd 2.80-2.83
10 I 0.0625 0.0625 0.1977  2 Cd 2.80-2.83
11 Cd 0.9089 0.9089 0.1059  2 Cl 2.59, 2 I 2.80-2.83
12 Cd 0.0911 0.0911 0.8941  2 Cl 2.59, 2 I 2.80-2.83
13 Ga 0.3651 0.3651 0.2885  4 Cl 2.14-2.29
14 Ga 0.6349 0.6349 0.7115  4 Cl 2.14-2.29

Calculated values
As for the volume: 576.77 Å³ per cell. The value obtained for the raw formation energy is -0.983 eV/atom.


Record 3
Compound: Cd2InGaCl6
Source: the Alexandria database
Functional: PBE
Structure: relaxed

Cell lengths 7.6174, 9.4380, 9.4380 Å; angles 80.28, 79.33, 79.33 degrees
Closest atoms and distances in Å follow each position.
Fractional positions:
1 Ga 0.7500 0.0994 0.9006  6 Cl 2.94-3.09
2 Ga 0.2500 0.9006 0.0994  6 Cl 2.94-3.09
3 Cl 0.5092 0.4053 0.3078  2 Cd 2.55-2.57
4 Cl 0.8817 0.3703 0.9143  1 Cd 2.47
5 Cl 0.6424 0.7933 0.9917  1 Cd 2.47
6 Cl 0.0092 0.3078 0.4053  2 Cd 2.55-2.57
7 Cl 0.4908 0.5947 0.6922  2 Cd 2.55-2.57
8 Cl 0.1183 0.6297 0.0857  1 Cd 2.47
9 Cl 0.8576 0.0083 0.2067  1 Cd 2.47
10 Cl 0.9908 0.6922 0.5947  2 Cd 2.55-2.57
11 Cl 0.3817 0.9143 0.3703  1 Cd 2.47
12 Cl 0.6183 0.0857 0.6297  1 Cd 2.47
13 Cl 0.1424 0.9917 0.7933  1 Cd 2.47
14 Cl 0.3576 0.2067 0.0083  1 Cd 2.47
15 In 0.2500 0.3026 0.6974  4 Cl 3.13-3.18
16 In 0.7500 0.6974 0.3026  4 Cl 3.13-3.18
17 Cd 0.2428 0.3802 0.1864  4 Cl 2.47-2.57
18 Cd 0.2572 0.8136 0.6198  4 Cl 2.47-2.57
19 Cd 0.7572 0.6198 0.8136  4 Cl 2.47-2.57
20 Cd 0.7428 0.1864 0.3802  4 Cl 2.47-2.57

Calculated values
As for the volume: 648.89 Å³ per cell. The value obtained for the raw formation energy is -0.938 eV/atom.


Record 4
Compound: KCdGa2Cl8
Source: the Alexandria database
Functional: PBE
Structure: relaxed

Cell lengths 6.6860, 6.6860, 10.0140 Å; angles 90.00, 90.00, 120.00 degrees
Closest atoms and distances in Å follow each position.
Fractional positions:
1 Ga 0.3333 0.6667 0.7733  4 Cl 2.20-2.21
2 Ga 0.6667 0.3333 0.2267  4 Cl 2.20-2.21
3 Cl 0.0285 0.3432 0.7040  1 Ga 2.21
4 Cl 0.3147 0.9715 0.7040  1 Ga 2.21
5 Cl 0.6667 0.3333 0.0073  1 Ga 2.20
6 Cl 0.3333 0.6667 0.9927  1 Ga 2.20
7 Cl 0.6853 0.0285 0.2960  1 Ga 2.21
8 Cl 0.3432 0.3147 0.2960  1 Ga 2.21
9 Cl 0.6568 0.6853 0.7040  1 Ga 2.21
10 Cl 0.9715 0.6568 0.2960  1 Ga 2.21
11 K 0.0000 0.0000 0.0000  12 Cl 3.69-3.86
12 Cd 0.0000 0.0000 0.5000  6 Cl 3.01

Calculated values
As for the volume: 387.68 Å³ per cell. The value obtained for the raw formation energy is -1.169 eV/atom.


Record 5
Compound: KCdGaCl6
Source: the Alexandria database
Functional: PBE
Structure: relaxed

Cell lengths 6.6357, 6.6357, 13.7826 Å; angles 90.00, 90.00, 120.00 degrees
Closest atoms and distances in Å follow each position.
Fractional positions:
1 Cd 0.3333 0.6667 0.2500  6 Cl 2.66
2 Cd 0.6667 0.3333 0.7500  6 Cl 2.66
3 Cl 0.3850 0.3562 0.3527  1 Ga 2.41, 1 Cd 2.66
4 Cl 0.6438 0.6150 0.1473  1 Ga 2.41, 1 Cd 2.66
5 Cl 0.3850 0.0288 0.1473  1 Ga 2.41, 1 Cd 2.66
6 Cl 0.6150 0.6438 0.6473  1 Ga 2.41, 1 Cd 2.66
7 Cl 0.0288 0.3850 0.6473  1 Ga 2.41, 1 Cd 2.66
8 Cl 0.3562 0.3850 0.8527  1 Ga 2.41, 1 Cd 2.66
9 Cl 0.6438 0.0288 0.3527  1 Ga 2.41, 1 Cd 2.66
10 Cl 0.3562 0.9712 0.6473  1 Ga 2.41, 1 Cd 2.66
11 Cl 0.9712 0.3562 0.1473  1 Ga 2.41, 1 Cd 2.66
12 Cl 0.0288 0.6438 0.8527  1 Ga 2.41, 1 Cd 2.66
13 Cl 0.6150 0.9712 0.8527  1 Ga 2.41, 1 Cd 2.66
14 Cl 0.9712 0.6150 0.3527  1 Ga 2.41, 1 Cd 2.66
15 Ga 0.6667 0.3333 0.2500  6 Cl 2.41
16 Ga 0.3333 0.6667 0.7500  6 Cl 2.41
17 K 0.0000 0.0000 0.5000  6 Cl 3.19
18 K 0.0000 0.0000 0.0000  6 Cl 3.19

Calculated values
As for the volume: 525.57 Å³ per cell. The value obtained for the raw formation energy is -1.285 eV/atom.


Record 6
Compound: LiCdGaCl6
Source: the Alexandria database
Functional: PBE
Structure: relaxed

Cell lengths 5.9077, 6.4336, 6.4336 Å; angles 120.00, 90.00, 90.00 degrees
Closest atoms and distances in Å follow each position.
Fractional positions:
1 Cd 0.5000 0.6667 0.3333  6 Cl 2.64
2 Cl 0.7373 0.3049 0.0007  1 Ga 2.41, 1 Cd 2.64
3 Cl 0.2627 0.9993 0.6951  1 Ga 2.41, 1 Cd 2.64
4 Cl 0.7373 0.6958 0.6951  1 Ga 2.41, 1 Cd 2.64
5 Cl 0.2627 0.6958 0.0007  1 Ga 2.41, 1 Cd 2.64
6 Cl 0.2627 0.3049 0.3042  1 Ga 2.41, 1 Cd 2.64
7 Cl 0.7373 0.9993 0.3042  1 Ga 2.41, 1 Cd 2.64
8 Ga 0.5000 0.0000 0.0000  6 Cl 2.41
9 Li 0.0000 0.3333 0.6667  6 Cl 2.73

Calculated values
As for the volume: 211.77 Å³ per cell. The value obtained for the raw formation energy is -1.189 eV/atom.


Record 7
Compound: NaCdGaCl6
Source: the Alexandria database
Functional: PBE
Structure: relaxed

Cell lengths 6.2393, 6.5418, 6.5418 Å; angles 120.00, 90.00, 90.00 degrees
Closest atoms and distances in Å follow each position.
Fractional positions:
1 Cl 0.7254 0.9875 0.2921  1 Ga 2.41, 1 Cd 2.65
2 Cl 0.2746 0.9875 0.6953  1 Ga 2.41, 1 Cd 2.65
3 Cl 0.2746 0.3047 0.2921  1 Ga 2.41, 1 Cd 2.65
4 Cl 0.7254 0.7079 0.6953  1 Ga 2.41, 1 Cd 2.65
5 Cl 0.7254 0.3047 0.0125  1 Ga 2.41, 1 Cd 2.65
6 Cl 0.2746 0.7079 0.0125  1 Ga 2.41, 1 Cd 2.65
7 Ga 0.5000 0.0000 0.0000  6 Cl 2.41
8 Na 0.0000 0.3333 0.6667  6 Cl 2.92
9 Cd 0.5000 0.6667 0.3333  6 Cl 2.65

Calculated values
As for the volume: 231.24 Å³ per cell. The value obtained for the raw formation energy is -1.223 eV/atom.


Record 8
Compound: CdGa2OsCl
Source: the Alexandria database
Functional: PBE
Structure: relaxed

Cell lengths 4.8680, 5.0173, 4.8680 Å; angles 90.00, 90.00, 90.00 degrees
Closest atoms and distances in Å follow each position.
Fractional positions:
1 Cd 0.0000 0.5000 0.0000  2 Cl 2.51
2 Os 0.5000 0.5000 0.5000  4 Cd 3.44, 8 Ga 3.50
3 Ga 0.0000 0.0000 0.5000  2 Cl 2.43
4 Ga 0.5000 0.0000 0.0000  2 Cl 2.43
5 Cl 0.0000 0.0000 0.0000  4 Ga 2.43, 2 Cd 2.51

Calculated values
As for the volume: 118.90 Å³ per cell. The value obtained for the raw formation energy is 1.313 eV/atom.


- Which formula does entry 6 have?
  LiCdGaCl6


- volume of number 8 (CdGa2OsCl)?
  118.90 Å³ per cell


- Which value of raw formation energy does entry 7 give?
  -1.223 eV/atom


- The lowest raw formation energy belongs to which entry?
  KCdGaCl6